Record 1
Entry from Alexandria: a relaxed GaFeSe2 crystal (GGA-PBE).

Lattice parameters (Å, degrees): 3.4017 3.4017 25.6634 90.00 90.00 120.00
Positions (direct):
Ga: 0.0000 0.0000 0.0000
Ga: 0.3333 0.6667 0.6667
Ga: 0.6667 0.3333 0.3333
Fe: 0.0000 0.0000 0.5000
Fe: 0.3333 0.6667 0.1667
Fe: 0.6667 0.3333 0.8333
Se: 0.0000 0.0000 0.1133
Se: 0.0000 0.0000 0.8867
Se: 0.3333 0.6667 0.5534
Se: 0.3333 0.6667 0.7800
Se: 0.6667 0.3333 0.2200
Se: 0.6667 0.3333 0.4466

formation energy without anion corrections	-0.10	eV/atom

---

Record 2
Entry from Alexandria: a relaxed GaFeSe crystal (GGA-PBE).

Lattice parameters (Å, degrees): 12.6013 3.1146 5.3951 90.00 90.00 90.00
Positions (direct):
Ga: 0.0000 0.0000 0.0000
Ga: 0.0000 0.5000 0.5000
Ga: 0.5000 0.0000 0.0046
Ga: 0.5000 0.5000 0.5046
Fe: 0.3552 0.0000 0.3379
Fe: 0.3552 0.5000 0.8379
Fe: 0.6448 0.0000 0.3379
Fe: 0.6448 0.5000 0.8379
Se: 0.2359 0.0000 0.0045
Se: 0.2359 0.5000 0.5045
Se: 0.7641 0.0000 0.0045
Se: 0.7641 0.5000 0.5045

formation energy without anion corrections	-0.03	eV/atom

---

Record 3
Entry from Alexandria: a relaxed GaFe3Se crystal (GGA-PBE).

Lattice parameters (Å, degrees): 4.3869 4.3869 4.3869 90.00 90.00 90.00
Positions (direct):
Ga: 0.0000 0.0000 0.0000
Fe: 0.0000 0.5000 0.5000
Fe: 0.5000 0.0000 0.5000
Fe: 0.5000 0.5000 0.0000
Se: 0.5000 0.5000 0.5000

formation energy without anion corrections	0.61	eV/atom
energy relative to the lowest polymorph listed for this composition	0.0000	eV/atom

---

Record 4
Entry from Alexandria: a relaxed GaFeSe2 crystal (GGA-PBE).

Lattice parameters (Å, degrees): 3.7794 3.7794 22.5428 90.00 90.00 120.00
Positions (direct):
Ga: 0.0000 0.0000 0.0000
Ga: 0.3333 0.6667 0.6667
Ga: 0.6667 0.3333 0.3333
Fe: 0.0000 0.0000 0.5000
Fe: 0.3333 0.6667 0.1667
Fe: 0.6667 0.3333 0.8333
Se: 0.0000 0.0000 0.3977
Se: 0.0000 0.0000 0.6023
Se: 0.3333 0.6667 0.0643
Se: 0.3333 0.6667 0.2690
Se: 0.6667 0.3333 0.7310
Se: 0.6667 0.3333 0.9357

formation energy without anion corrections	0.07	eV/atom

---

Record 5
Entry from Alexandria: a relaxed GaFeSe2 crystal (GGA-PBE).

Lattice parameters (Å, degrees): 5.6496 5.6496 11.0595 90.00 90.00 90.00
Positions (direct):
Ga: 0.0000 0.0000 0.0000
Ga: 0.0000 0.5000 0.2500
Ga: 0.5000 0.0000 0.7500
Ga: 0.5000 0.5000 0.5000
Fe: 0.0000 0.0000 0.5000
Fe: 0.0000 0.5000 0.7500
Fe: 0.5000 0.0000 0.2500
Fe: 0.5000 0.5000 0.0000
Se: 0.2029 0.2500 0.6250
Se: 0.2500 0.7029 0.8750
Se: 0.2500 0.7971 0.3750
Se: 0.2971 0.2500 0.1250
Se: 0.7029 0.7500 0.1250
Se: 0.7500 0.2029 0.3750
Se: 0.7500 0.2971 0.8750
Se: 0.7971 0.7500 0.6250

formation energy without anion corrections	-0.12	eV/atom

---

Record 6
Entry from Alexandria: a relaxed Ga3FeSe crystal (GGA-PBE).

Lattice parameters (Å, degrees): 4.6352 4.6352 4.6352 90.00 90.00 90.00
Positions (direct):
Ga: 0.0000 0.0000 0.5000
Ga: 0.0000 0.5000 0.0000
Ga: 0.5000 0.0000 0.0000
Fe: 0.0000 0.0000 0.0000
Se: 0.5000 0.5000 0.5000

formation energy without anion corrections	0.15	eV/atom
energy relative to the lowest polymorph listed for this composition	0.0000	eV/atom

---

Record 7
Entry from Alexandria: a relaxed GaFe3Se crystal (GGA-PBE).

Lattice parameters (Å, degrees): 4.4677 4.4677 4.4677 90.00 90.00 90.00
Positions (direct):
Ga: 0.0000 0.0000 0.0000
Fe: 0.0000 0.0000 0.5000
Fe: 0.0000 0.5000 0.0000
Fe: 0.5000 0.0000 0.0000
Se: 0.5000 0.5000 0.5000

formation energy without anion corrections	0.99	eV/atom
energy relative to the lowest polymorph listed for this composition	0.3847	eV/atom

---

Record 8
Entry from Alexandria: a relaxed Ga2FeSi crystal (GGA-PBE).

Lattice parameters (Å, degrees): 9.0253 9.0253 4.3031 90.00 90.00 90.00
Positions (direct):
Ga: 0.0000 0.0000 0.0000
Ga: 0.0000 0.5000 0.0000
Ga: 0.2500 0.2500 0.7500
Ga: 0.2500 0.7500 0.2500
Ga: 0.5000 0.0000 0.5000
Ga: 0.5000 0.5000 0.5000
Ga: 0.7500 0.2500 0.7500
Ga: 0.7500 0.7500 0.2500
Fe: 0.0000 0.2500 0.8750
Fe: 0.0000 0.7500 0.1250
Fe: 0.5000 0.2500 0.6250
Fe: 0.5000 0.7500 0.3750
Si: 0.0000 0.2500 0.3750
Si: 0.0000 0.7500 0.6250
Si: 0.5000 0.2500 0.1250
Si: 0.5000 0.7500 0.8750

formation energy without anion corrections	-0.04	eV/atom

---

Record 9
Entry from Alexandria: a relaxed GaFeSi crystal (GGA-PBE).

Lattice parameters (Å, degrees): 4.6161 3.9420 4.8916 90.00 108.37 90.00
Positions (direct):
Ga: 0.1440 0.2500 0.4058
Ga: 0.8560 0.7500 0.5942
Fe: 0.1219 0.2500 0.8923
Fe: 0.8781 0.7500 0.1077
Si: 0.3772 0.7500 0.0813
Si: 0.6228 0.2500 0.9187

formation energy without anion corrections	-0.23	eV/atom

---

Record 10
Entry from Alexandria: a relaxed Ga3FeSi crystal (GGA-PBE).

Lattice parameters (Å, degrees): 4.6352 4.6352 4.6352 90.00 90.00 90.00
Positions (direct):
Ga: 0.0000 0.0000 0.5000
Ga: 0.0000 0.5000 0.0000
Ga: 0.5000 0.0000 0.0000
Fe: 0.5000 0.5000 0.5000
Si: 0.0000 0.0000 0.0000

formation energy without anion corrections	0.88	eV/atom
energy relative to the lowest polymorph listed for this composition	0.4617	eV/atom

---

Record 11
Entry from Alexandria: a relaxed Ga3FeSi crystal (GGA-PBE).

Lattice parameters (Å, degrees): 4.5951 4.5951 4.5951 90.00 90.00 90.00
Positions (direct):
Ga: 0.0000 0.0000 0.5000
Ga: 0.0000 0.5000 0.0000
Ga: 0.5000 0.0000 0.0000
Fe: 0.0000 0.0000 0.0000
Si: 0.5000 0.5000 0.5000

formation energy without anion corrections	0.42	eV/atom
energy relative to the lowest polymorph listed for this composition	0.0000	eV/atom

---

Record 12
Entry from Alexandria: a relaxed Ga2Fe5Si crystal (GGA-PBE).

Lattice parameters (Å, degrees): 3.9820 3.9820 11.4430 90.00 90.00 90.00
Positions (direct):
Ga: 0.0000 0.0000 0.2475
Ga: 0.0000 0.0000 0.7525
Ga: 0.5000 0.5000 0.2525
Ga: 0.5000 0.5000 0.7475
Fe: 0.0000 0.0000 0.0000
Fe: 0.0000 0.5000 0.1176
Fe: 0.0000 0.5000 0.3824
Fe: 0.0000 0.5000 0.6176
Fe: 0.0000 0.5000 0.8824
Fe: 0.5000 0.0000 0.1176
Fe: 0.5000 0.0000 0.3824
Fe: 0.5000 0.0000 0.6176
Fe: 0.5000 0.0000 0.8824
Fe: 0.5000 0.5000 0.5000
Si: 0.0000 0.0000 0.5000
Si: 0.5000 0.5000 0.0000

formation energy without anion corrections	-0.18	eV/atom

---

Number 1: total energy -4.711 eV/atom. Number 2: total energy -5.021 eV/atom. Number 3: total energy -5.770 eV/atom. Number 4: total energy -4.546 eV/atom. Number 5: total energy -4.736 eV/atom. Number 6: total energy -4.052 eV/atom. Number 7: total energy -5.385 eV/atom. Number 8: total energy -5.025 eV/atom. Number 9: total energy -5.864 eV/atom. Number 10: total energy -3.710 eV/atom. Number 11: total energy -4.171 eV/atom. Number 12: total energy -6.900 eV/atom.